Compound: Si2Cl
Source: Alexandria
Functional: PBE
Structure: optimized geometry

```
Si2Cl
1.0
5.1828 0.0000 0.0000
-2.5914 4.4884 0.0000
0.0000 0.0000 4.9891
Si Cl
4 2
direct
0.0000 0.0000 0.0000 Si
0.0000 0.0000 0.5000 Si
0.3333 0.6667 0.2500 Si
0.6667 0.3333 0.7500 Si
0.3333 0.6667 0.7500 Cl
0.6667 0.3333 0.2500 Cl
```

Summary:
Formation energy (no corrections) in eV/atom: 0.690
Polymorph energy (0 for the lowest one) in eV per atom: 1.143